# LiTmGa (PBE, relaxed)
data_LiTmGa
_space_group_name_H-M_alt 'F -4 3 m'
_space_group_IT_number 216
_space_group_name_Hall 'F -4 2 3'
_cell_length_a 6.672
_cell_length_b 6.672
_cell_length_c 6.672
_cell_angle_alpha 90.00
_cell_angle_beta 90.00
_cell_angle_gamma 90.00
loop_
_atom_site_label
_atom_site_type_symbol
_atom_site_fract_x
_atom_site_fract_y
_atom_site_fract_z
_atom_site_occupancy
Li1 Li 0.000 0.000 0.000 1
Tm1 Tm 0.250 0.250 0.750 1
Ga1 Ga 0.000 0.000 0.500 1
# Total magnetic moment (μB per cell): 2.3
# Volume (A^3/atom): 24.75
# Energy above the lowest structure with this stoichiometry (meV/atom): 367.7

=====

# ThFeB4 (PBE, relaxed)
data_ThFeB4
_space_group_name_H-M_alt 'P 6/m m m'
_space_group_IT_number 191
_space_group_name_Hall '-P 6 2'
_cell_length_a 3.1801
_cell_length_b 3.1801
_cell_length_c 6.8251
_cell_angle_alpha 90.00
_cell_angle_beta 90.00
_cell_angle_gamma 120.00
loop_
_atom_site_label
_atom_site_type_symbol
_atom_site_fract_x
_atom_site_fract_y
_atom_site_fract_z
_atom_site_occupancy
Th1 Th 0.0000 0.0000 0.0000 1
Fe1 Fe 0.0000 0.0000 0.5000 1
B1 B 0.3333 0.6667 0.3110 1
# Total magnetic moment (μB per cell): 0.4
# Volume (A^3/atom): 9.96
# Energy above the lowest structure with this stoichiometry (meV/atom): 0.0

=====

# SrNiAs2Pd (PBE, relaxed)
data_SrNiAs2Pd
_space_group_name_H-M_alt 'P 4/n m m'
_space_group_IT_number 129
_cell_length_a 4.362
_cell_length_b 4.362
_cell_length_c 10.155
_cell_angle_alpha 90.00
_cell_angle_beta 90.00
_cell_angle_gamma 90.00
loop_
_space_group_symop_operation_xyz
'x,y,z'
'-x,-y,-z'
'-y+1/2,x,z'
'y+1/2,-x,-z'
'-x+1/2,-y+1/2,z'
'x+1/2,y+1/2,-z'
'y,-x+1/2,z'
'-y,x+1/2,-z'
'x+1/2,-y,-z'
'-x+1/2,y,z'
'-y,-x,-z'
'y,x,z'
'-x,y+1/2,-z'
'x,-y+1/2,z'
'y+1/2,x+1/2,-z'
'-y+1/2,-x+1/2,z'
loop_
_atom_site_label
_atom_site_type_symbol
_atom_site_fract_x
_atom_site_fract_y
_atom_site_fract_z
_atom_site_occupancy
Sr1 Sr 0.250 0.250 0.242 1
Ni1 Ni 0.250 0.750 0.000 1
As1 As 0.250 0.250 0.887 1
As2 As 0.250 0.750 0.500 1
Pd1 Pd 0.250 0.250 0.633 1
# Total magnetic moment (μB per cell): 0.0
# Volume (A^3/atom): 19.32
# Energy above the lowest structure with this stoichiometry (meV/atom): 0.0

=====

# HfNiSnPd (PBE, relaxed)
data_HfNiSnPd
_space_group_name_H-M_alt 'F -4 3 m'
_space_group_IT_number 216
_space_group_name_Hall 'F -4 2 3'
_cell_length_a 6.456
_cell_length_b 6.456
_cell_length_c 6.456
_cell_angle_alpha 90.00
_cell_angle_beta 90.00
_cell_angle_gamma 90.00
loop_
_atom_site_label
_atom_site_type_symbol
_atom_site_fract_x
_atom_site_fract_y
_atom_site_fract_z
_atom_site_occupancy
Hf1 Hf 0.000 0.000 0.000 1
Ni1 Ni 0.250 0.250 0.750 1
Sn1 Sn 0.000 0.000 0.500 1
Pd1 Pd 0.250 0.250 0.250 1
# Total magnetic moment (μB per cell): 0.0
# Volume (A^3/atom): 16.82
# Energy above the lowest structure with this stoichiometry (meV/atom): 0.0

=====

energy above the lowest structure with this stoichiometry of number 1 (LiTmGa)? 367.7 meV/atom

=====

What is the formula in the second record? ThFeB4